No. 1
The following is a DFT calculation (PBE) of a relaxed LiCaNdSn crystal.

Fermi-level density of states	0.72	states/eV per atom
E_form	-0.44	eV per atom
VASP energy	-3.614	eV per atom

abc: 7.623 7.623 7.623
angles: 90.00 90.00 90.00
Space group F-43m (No. 216)
Asymmetric unit:
Li: 0.000 0.000 0.000 (multiplicity 4)
Ca: 0.250 0.250 0.750 (multiplicity 4)
Nd: 0.250 0.250 0.250 (multiplicity 4)
Sn: 0.000 0.000 0.500 (multiplicity 4)

No. 2
The following is a DFT calculation (PBE) of a relaxed Fe2CoW crystal.

Fermi-level density of states	1.05	states/eV per atom
excess energy over the best structure of this formula in the dataset	0.0000	eV per atom
E_form	0.02	eV per atom
VASP energy	-9.224	eV per atom

abc: 3.604 3.604 3.620
angles: 90.00 90.00 90.00
Space group P4/mmm (No. 123)
Asymmetric unit:
Fe: 0.000 0.500 0.000 (multiplicity 2)
Co: 0.000 0.000 0.500 (multiplicity 1)
W: 0.500 0.500 0.500 (multiplicity 1)

No. 3
The following is a DFT calculation (PBE) of a relaxed AlVH crystal.

Fermi-level density of states	0.56	states/eV per atom
excess energy over the best structure of this formula in the dataset	0.0000	eV per atom
VASP energy	-5.599	eV per atom

abc: 2.9053 2.9053 4.2726
angles: 90.00 90.00 120.00
Space group P3m1 (No. 156)
Asymmetric unit:
Al: 0.0000 0.0000 0.0000 (multiplicity 1)
V: 0.6667 0.3333 0.4833 (multiplicity 1)
H: 0.3333 0.6667 0.6363 (multiplicity 1)

Q: Which formula does entry 3 have?
A: AlVH

Q: Fermi-level density of states of number 1 (LiCaNdSn)?
A: 0.72 states/eV per atom

Q: The highest VASP energy belongs to which entry?
A: LiCaNdSn